Density functional theory data (PBE) for Hg4As5 after structural relaxation.

Results
Its space group is No. 139. The calculation puts the magnetic moment at 0.0 Bohr magnetons per cell. As for the raw total energy: -0.0855 hartree per atom. The formation enthalpy at 0 K comes out at 390 meV/atom. The value obtained for the density of states at the Fermi level is 0.647 states/eV per atom.

CIF file:
```
data_Hg4As5
_chemical_formula_sum 'Hg4 As5'
_symmetry_space_group_name_H-M 'P 1'
_symmetry_Int_Tables_number 1
_symmetry_space_group_name_Hall 'P 1'
_cell_length_a 7.790
_cell_length_b 7.790
_cell_length_c 7.790
_cell_angle_alpha 93.01
_cell_angle_beta 93.01
_cell_angle_gamma 153.49
loop_
_atom_site_label
_atom_site_type_symbol
_atom_site_fract_x
_atom_site_fract_y
_atom_site_fract_z
As1 As 0.312 0.688 0.000
As2 As 0.312 0.312 0.625
As3 As 0.688 0.312 0.000
As4 As 0.688 0.688 0.375
Hg1 Hg 0.000 0.681 0.681
As5 As 0.000 0.000 0.000
Hg2 Hg 0.319 0.000 0.319
Hg3 Hg 0.000 0.319 0.319
Hg4 Hg 0.681 0.000 0.681
```

Density functional theory data (PBE) for HgAs4 after structural relaxation.

Results
Its space group is No. 87. The calculation puts the magnetic moment at 0.0 Bohr magnetons per cell. As for the raw total energy: -0.1257 hartree per atom. The distance to the lowest polymorph of the same formula is 0.000 eV/atom. The formation enthalpy at 0 K comes out at 358 meV/atom. The value obtained for the density of states at the Fermi level is 0.359 states/eV per atom.

CIF file:
```
data_HgAs4
_chemical_formula_sum 'Hg1 As4'
_symmetry_space_group_name_H-M 'P 1'
_symmetry_Int_Tables_number 1
_symmetry_space_group_name_Hall 'P 1'
_cell_length_a 5.730
_cell_length_b 5.730
_cell_length_c 5.730
_cell_angle_alpha 99.12
_cell_angle_beta 99.12
_cell_angle_gamma 133.09
loop_
_atom_site_label
_atom_site_type_symbol
_atom_site_fract_x
_atom_site_fract_y
_atom_site_fract_z
As1 As 0.126 0.604 0.730
As2 As 0.396 0.126 0.523
As3 As 0.604 0.874 0.477
Hg1 Hg 0.000 0.000 0.000
As4 As 0.874 0.396 0.270
```

Density functional theory data (PBE) for HgAs after structural relaxation.

Results
Its space group is No. 221. The calculation puts the magnetic moment at 0.0 Bohr magnetons per cell. As for the raw total energy: -0.0729 hartree per atom. The distance to the lowest polymorph of the same formula is 0.493 eV/atom. The formation enthalpy at 0 K comes out at 493 meV/atom. The value obtained for the density of states at the Fermi level is 0.761 states/eV per atom.

CIF file:
```
data_HgAs
_chemical_formula_sum 'Hg1 As1'
_symmetry_space_group_name_H-M 'P 1'
_symmetry_Int_Tables_number 1
_symmetry_space_group_name_Hall 'P 1'
_cell_length_a 3.537
_cell_length_b 3.537
_cell_length_c 3.537
_cell_angle_alpha 90.00
_cell_angle_beta 90.00
_cell_angle_gamma 90.00
loop_
_atom_site_label
_atom_site_type_symbol
_atom_site_fract_x
_atom_site_fract_y
_atom_site_fract_z
Hg1 Hg 0.500 0.500 0.500
As1 As 0.000 0.000 0.000
```

Density functional theory data (PBE) for Hg6As7 after structural relaxation.

Results
Its space group is No. 166. The calculation puts the magnetic moment at 0.0 Bohr magnetons per cell. As for the raw total energy: -0.0883 hartree per atom. The formation enthalpy at 0 K comes out at 241 meV/atom. The value obtained for the density of states at the Fermi level is 0.494 states/eV per atom.

CIF file:
```
data_Hg6As7
_chemical_formula_sum 'Hg6 As7'
_symmetry_space_group_name_H-M 'P 1'
_symmetry_Int_Tables_number 1
_symmetry_space_group_name_Hall 'P 1'
_cell_length_a 10.266
_cell_length_b 10.266
_cell_length_c 10.266
_cell_angle_alpha 37.44
_cell_angle_beta 37.44
_cell_angle_gamma 37.44
loop_
_atom_site_label
_atom_site_type_symbol
_atom_site_fract_x
_atom_site_fract_y
_atom_site_fract_z
Hg1 Hg 0.841 0.841 0.841
Hg2 Hg 0.678 0.678 0.678
Hg3 Hg 0.949 0.949 0.949
As1 As 0.834 0.452 0.452
As2 As 0.548 0.548 0.166
As3 As 0.166 0.548 0.548
Hg4 Hg 0.322 0.322 0.322
As4 As 0.452 0.834 0.452
As5 As 0.500 0.500 0.500
As6 As 0.548 0.166 0.548
As7 As 0.452 0.452 0.834
Hg5 Hg 0.051 0.051 0.051
Hg6 Hg 0.159 0.159 0.159
```

Density functional theory data (PBE) for Hg3As after structural relaxation.

Results
Its space group is No. 194. The calculation puts the magnetic moment at 0.0 Bohr magnetons per cell. As for the raw total energy: -0.0409 hartree per atom. The distance to the lowest polymorph of the same formula is 0.179 eV/atom. The formation enthalpy at 0 K comes out at 277 meV/atom. The value obtained for the density of states at the Fermi level is 0.459 states/eV per atom.

CIF file:
```
data_Hg3As
_chemical_formula_sum 'Hg6 As2'
_symmetry_space_group_name_H-M 'P 1'
_symmetry_Int_Tables_number 1
_symmetry_space_group_name_Hall 'P 1'
_cell_length_a 6.114
_cell_length_b 6.114
_cell_length_c 5.989
_cell_angle_alpha 90.00
_cell_angle_beta 90.00
_cell_angle_gamma 120.00
loop_
_atom_site_label
_atom_site_type_symbol
_atom_site_fract_x
_atom_site_fract_y
_atom_site_fract_z
Hg1 Hg 0.336 0.168 0.750
Hg2 Hg 0.832 0.664 0.750
As1 As 0.333 0.667 0.750
As2 As 0.667 0.333 0.250
Hg3 Hg 0.168 0.832 0.250
Hg4 Hg 0.168 0.336 0.250
Hg5 Hg 0.664 0.832 0.250
Hg6 Hg 0.832 0.168 0.750
```

Density functional theory data (PBE) for HgAs after structural relaxation.

Results
Its space group is No. 217. The calculation puts the magnetic moment at 0.0 Bohr magnetons per cell. As for the raw total energy: -0.0754 hartree per atom. The distance to the lowest polymorph of the same formula is 0.423 eV/atom. The formation enthalpy at 0 K comes out at 423 meV/atom. The value obtained for the density of states at the Fermi level is 0.719 states/eV per atom.

CIF file:
```
data_HgAs
_chemical_formula_sum 'Hg8 As8'
_symmetry_space_group_name_H-M 'P 1'
_symmetry_Int_Tables_number 1
_symmetry_space_group_name_Hall 'P 1'
_cell_length_a 8.423
_cell_length_b 8.423
_cell_length_c 8.423
_cell_angle_alpha 90.00
_cell_angle_beta 90.00
_cell_angle_gamma 90.00
loop_
_atom_site_label
_atom_site_type_symbol
_atom_site_fract_x
_atom_site_fract_y
_atom_site_fract_z
Hg1 Hg 0.321 0.321 0.321
As1 As 0.353 0.353 0.647
As2 As 0.647 0.353 0.353
Hg2 Hg 0.679 0.679 0.321
As3 As 0.353 0.647 0.353
As4 As 0.147 0.147 0.147
Hg3 Hg 0.821 0.179 0.179
As5 As 0.853 0.853 0.147
Hg4 Hg 0.321 0.679 0.679
As6 As 0.853 0.147 0.853
Hg5 Hg 0.821 0.821 0.821
As7 As 0.147 0.853 0.853
Hg6 Hg 0.679 0.321 0.679
As8 As 0.647 0.647 0.647
Hg7 Hg 0.179 0.179 0.821
Hg8 Hg 0.179 0.821 0.179
```

Density functional theory data (PBE) for HgAs after structural relaxation.

Results
Its space group is No. 166. The calculation puts the magnetic moment at 0.0 Bohr magnetons per cell. As for the raw total energy: -0.0907 hartree per atom. The distance to the lowest polymorph of the same formula is 0.007 eV/atom. The formation enthalpy at 0 K comes out at 6 meV/atom.

CIF file:
```
data_HgAs
_chemical_formula_sum 'Hg2 As2'
_symmetry_space_group_name_H-M 'P 1'
_symmetry_Int_Tables_number 1
_symmetry_space_group_name_Hall 'P 1'
_cell_length_a 10.780
_cell_length_b 10.780
_cell_length_c 10.780
_cell_angle_alpha 19.26
_cell_angle_beta 19.26
_cell_angle_gamma 19.26
loop_
_atom_site_label
_atom_site_type_symbol
_atom_site_fract_x
_atom_site_fract_y
_atom_site_fract_z
As1 As 0.020 0.020 0.020
As2 As 0.730 0.730 0.730
Hg1 Hg 0.255 0.255 0.255
Hg2 Hg 0.495 0.495 0.495
```

Density functional theory data (PBE) for HgAs after structural relaxation.

Results
Its space group is No. 194. The calculation puts the magnetic moment at 0.0 Bohr magnetons per cell. As for the raw total energy: -0.0877 hartree per atom. The distance to the lowest polymorph of the same formula is 0.091 eV/atom. The formation enthalpy at 0 K comes out at 91 meV/atom. The value obtained for the density of states at the Fermi level is 0.274 states/eV per atom.

CIF file:
```
data_HgAs
_chemical_formula_sum 'Hg6 As6'
_symmetry_space_group_name_H-M 'P 1'
_symmetry_Int_Tables_number 1
_symmetry_space_group_name_Hall 'P 1'
_cell_length_a 10.697
_cell_length_b 10.697
_cell_length_c 3.517
_cell_angle_alpha 90.00
_cell_angle_beta 90.00
_cell_angle_gamma 120.00
loop_
_atom_site_label
_atom_site_type_symbol
_atom_site_fract_x
_atom_site_fract_y
_atom_site_fract_z
Hg1 Hg 0.852 0.705 0.750
As1 As 0.545 0.455 0.750
Hg2 Hg 0.148 0.295 0.250
Hg3 Hg 0.295 0.147 0.750
As2 As 0.545 0.089 0.750
Hg4 Hg 0.853 0.148 0.750
Hg5 Hg 0.147 0.852 0.250
Hg6 Hg 0.705 0.853 0.250
As3 As 0.911 0.455 0.750
As4 As 0.089 0.545 0.250
As5 As 0.455 0.545 0.250
As6 As 0.455 0.911 0.250
```

Density functional theory data (PBE) for HgAs after structural relaxation.

Results
Its space group is No. 194. The calculation puts the magnetic moment at 0.0 Bohr magnetons per cell. As for the raw total energy: -0.0808 hartree per atom. The distance to the lowest polymorph of the same formula is 0.278 eV/atom. The formation enthalpy at 0 K comes out at 278 meV/atom. The value obtained for the density of states at the Fermi level is 0.505 states/eV per atom.

CIF file:
```
data_HgAs
_chemical_formula_sum 'Hg2 As2'
_symmetry_space_group_name_H-M 'P 1'
_symmetry_Int_Tables_number 1
_symmetry_space_group_name_Hall 'P 1'
_cell_length_a 4.533
_cell_length_b 4.533
_cell_length_c 5.520
_cell_angle_alpha 90.00
_cell_angle_beta 90.00
_cell_angle_gamma 120.00
loop_
_atom_site_label
_atom_site_type_symbol
_atom_site_fract_x
_atom_site_fract_y
_atom_site_fract_z
As1 As 0.000 0.000 0.500
As2 As 0.000 0.000 0.000
Hg1 Hg 0.333 0.667 0.250
Hg2 Hg 0.667 0.333 0.750
```

Density functional theory data (PBE) for HgAs after structural relaxation.

Results
Its space group is No. 74. The calculation puts the magnetic moment at 0.0 Bohr magnetons per cell. As for the raw total energy: -0.0849 hartree per atom. The distance to the lowest polymorph of the same formula is 0.166 eV/atom. The formation enthalpy at 0 K comes out at 166 meV/atom. The value obtained for the density of states at the Fermi level is 0.432 states/eV per atom.

CIF file:
```
data_HgAs
_chemical_formula_sum 'Hg2 As2'
_symmetry_space_group_name_H-M 'P 1'
_symmetry_Int_Tables_number 1
_symmetry_space_group_name_Hall 'P 1'
_cell_length_a 7.755
_cell_length_b 7.755
_cell_length_c 7.755
_cell_angle_alpha 153.52
_cell_angle_beta 149.55
_cell_angle_gamma 40.78
loop_
_atom_site_label
_atom_site_type_symbol
_atom_site_fract_x
_atom_site_fract_y
_atom_site_fract_z
Hg1 Hg 0.173 0.423 0.250
As1 As 0.558 0.808 0.250
Hg2 Hg 0.827 0.577 0.750
As2 As 0.442 0.192 0.750
```